--- w ---
A plane-wave DFT calculation with GGA-PBE was carried out for a geometry-optimized BiBRu3 structure.

The structure in CIF format:
```
data_BiBRu3
_chemical_formula_sum 'Bi1 B1 Ru3'
_space_group_name_H-M_alt 'P 1'
_space_group_IT_number 1
_space_group_name_Hall 'P 1'
_cell_length_a 4.189
_cell_length_b 4.189
_cell_length_c 4.189
_cell_angle_alpha 90.00
_cell_angle_beta 90.00
_cell_angle_gamma 90.00
loop_
_atom_site_label
_atom_site_fract_x
_atom_site_fract_y
_atom_site_fract_z
Ru1 0.000 0.000 0.500
Ru2 0.000 0.500 0.000
B1 0.000 0.000 0.000
Bi1 0.500 0.500 0.500
Ru3 0.500 0.000 0.000
```

Magnetic moment, μB per formula unit: 0.00
Space group: No. 221
DOS at the Fermi energy, states/eV per atom: 0.330

***

--- x ---
A plane-wave DFT calculation with GGA-PBE was carried out for a geometry-optimized BiBRu3 structure.

The structure in CIF format:
```
data_BiBRu3
_chemical_formula_sum 'Bi1 B1 Ru3'
_space_group_name_H-M_alt 'P 1'
_space_group_IT_number 1
_space_group_name_Hall 'P 1'
_cell_length_a 5.022
_cell_length_b 5.022
_cell_length_c 5.022
_cell_angle_alpha 90.00
_cell_angle_beta 90.00
_cell_angle_gamma 90.00
loop_
_atom_site_label
_atom_site_fract_x
_atom_site_fract_y
_atom_site_fract_z
Ru1 0.000 0.500 0.000
Ru2 0.500 0.000 0.000
B1 0.500 0.500 0.500
Bi1 0.000 0.000 0.000
Ru3 0.000 0.000 0.500
```

Magnetic moment, μB per formula unit: 4.82
Space group: No. 221
DOS at the Fermi energy, states/eV per atom: 1.159

***

Most stable pick: w. Distance to second place: 2.773 eV/atom.

***

--- w ---
A plane-wave DFT calculation with GGA-PBE was carried out for a geometry-optimized BiBS2 structure.

The structure in CIF format:
```
data_BiBS2
_chemical_formula_sum 'Bi1 B1 S2'
_space_group_name_H-M_alt 'P 1'
_space_group_IT_number 1
_space_group_name_Hall 'P 1'
_cell_length_a 8.186
_cell_length_b 8.186
_cell_length_c 8.186
_cell_angle_alpha 26.38
_cell_angle_beta 26.38
_cell_angle_gamma 26.38
loop_
_atom_site_label
_atom_site_fract_x
_atom_site_fract_y
_atom_site_fract_z
S1 0.071 0.071 0.071
Bi1 0.500 0.500 0.500
S2 0.929 0.929 0.929
B1 0.000 0.000 0.000
```

Magnetic moment, μB per formula unit: 0.00
Space group: No. 166
DOS at the Fermi energy, states/eV per atom: 0.360

***

--- x ---
A plane-wave DFT calculation with GGA-PBE was carried out for a geometry-optimized BiBS2 structure.

The structure in CIF format:
```
data_BiBS2
_chemical_formula_sum 'Bi1 B1 S2'
_space_group_name_H-M_alt 'P 1'
_space_group_IT_number 1
_space_group_name_Hall 'P 1'
_cell_length_a 4.764
_cell_length_b 4.764
_cell_length_c 4.764
_cell_angle_alpha 60.00
_cell_angle_beta 60.00
_cell_angle_gamma 60.00
loop_
_atom_site_label
_atom_site_fract_x
_atom_site_fract_y
_atom_site_fract_z
S1 0.750 0.750 0.750
S2 0.250 0.250 0.250
B1 0.000 0.000 0.000
Bi1 0.500 0.500 0.500
```

Magnetic moment, μB per formula unit: 0.00
Space group: No. 225
DOS at the Fermi energy, states/eV per atom: 0.675

***

Most stable pick: w. Distance to second place: 0.851 eV/atom.

***

--- w ---
A plane-wave DFT calculation with GGA-PBE was carried out for a geometry-optimized Bi2BSb2 structure.

The structure in CIF format:
```
data_Bi2BSb2
_chemical_formula_sum 'Bi4 B2 Sb4'
_space_group_name_H-M_alt 'P 1'
_space_group_IT_number 1
_space_group_name_Hall 'P 1'
_cell_length_a 6.711
_cell_length_b 6.711
_cell_length_c 6.350
_cell_angle_alpha 90.00
_cell_angle_beta 90.00
_cell_angle_gamma 90.00
loop_
_atom_site_label
_atom_site_fract_x
_atom_site_fract_y
_atom_site_fract_z
Bi1 0.669 0.169 0.000
Sb1 0.237 0.263 0.500
B1 0.500 0.500 0.000
Bi2 0.331 0.831 0.000
Sb2 0.263 0.763 0.500
Bi3 0.169 0.331 0.000
Bi4 0.831 0.669 0.000
Sb3 0.737 0.237 0.500
B2 0.000 0.000 0.000
Sb4 0.763 0.737 0.500
```

Magnetic moment, μB per formula unit: 0.00
Space group: No. 127
DOS at the Fermi energy, states/eV per atom: 0.685

***

--- x ---
A plane-wave DFT calculation with GGA-PBE was carried out for a geometry-optimized Bi2BSb2 structure.

The structure in CIF format:
```
data_Bi2BSb2
_chemical_formula_sum 'Bi2 B1 Sb2'
_space_group_name_H-M_alt 'P 1'
_space_group_IT_number 1
_space_group_name_Hall 'P 1'
_cell_length_a 4.082
_cell_length_b 4.082
_cell_length_c 9.188
_cell_angle_alpha 77.17
_cell_angle_beta 77.17
_cell_angle_gamma 90.00
loop_
_atom_site_label
_atom_site_fract_x
_atom_site_fract_y
_atom_site_fract_z
Bi1 0.414 0.414 0.171
Sb1 0.750 0.250 0.500
B1 0.000 0.000 0.000
Bi2 0.586 0.586 0.829
Sb2 0.250 0.750 0.500
```

Magnetic moment, μB per formula unit: 0.00
Space group: No. 139
DOS at the Fermi energy, states/eV per atom: 0.579

***

Most stable pick: w. Distance to second place: 0.287 eV/atom.

***

--- w ---
A plane-wave DFT calculation with GGA-PBE was carried out for a geometry-optimized BiBSb2 structure.

The structure in CIF format:
```
data_BiBSb2
_chemical_formula_sum 'Bi1 B1 Sb2'
_space_group_name_H-M_alt 'P 1'
_space_group_IT_number 1
_space_group_name_Hall 'P 1'
_cell_length_a 5.156
_cell_length_b 5.156
_cell_length_c 5.156
_cell_angle_alpha 60.00
_cell_angle_beta 60.00
_cell_angle_gamma 60.00
loop_
_atom_site_label
_atom_site_fract_x
_atom_site_fract_y
_atom_site_fract_z
Sb1 0.250 0.250 0.250
B1 0.000 0.000 0.000
Bi1 0.500 0.500 0.500
Sb2 0.750 0.750 0.750
```

Magnetic moment, μB per formula unit: 0.00
Space group: No. 225
DOS at the Fermi energy, states/eV per atom: 0.654

***

--- x ---
A plane-wave DFT calculation with GGA-PBE was carried out for a geometry-optimized BiBSb2 structure.

The structure in CIF format:
```
data_BiBSb2
_chemical_formula_sum 'Bi2 B2 Sb4'
_space_group_name_H-M_alt 'P 1'
_space_group_IT_number 1
_space_group_name_Hall 'P 1'
_cell_length_a 6.794
_cell_length_b 6.794
_cell_length_c 6.639
_cell_angle_alpha 59.22
_cell_angle_beta 59.22
_cell_angle_gamma 90.00
loop_
_atom_site_label
_atom_site_fract_x
_atom_site_fract_y
_atom_site_fract_z
B1 0.250 0.750 0.500
Sb1 0.875 0.779 0.750
Sb2 0.529 0.125 0.250
Bi1 0.750 0.250 0.500
B2 0.500 0.500 0.000
Sb3 0.375 0.471 0.750
Bi2 0.000 0.000 0.000
Sb4 0.221 0.625 0.250
```

Magnetic moment, μB per formula unit: 0.00
Space group: No. 122
DOS at the Fermi energy, states/eV per atom: 0.296

***

Most stable pick: x. Distance to second place: 0.653 eV/atom.

***

--- w ---
A plane-wave DFT calculation with GGA-PBE was carried out for a geometry-optimized Bi3BSb structure.

The structure in CIF format:
```
data_Bi3BSb
_chemical_formula_sum 'Bi3 B1 Sb1'
_space_group_name_H-M_alt 'P 1'
_space_group_IT_number 1
_space_group_name_Hall 'P 1'
_cell_length_a 5.855
_cell_length_b 5.855
_cell_length_c 5.855
_cell_angle_alpha 90.00
_cell_angle_beta 90.00
_cell_angle_gamma 90.00
loop_
_atom_site_label
_atom_site_fract_x
_atom_site_fract_y
_atom_site_fract_z
Bi1 0.500 0.000 0.000
B1 0.500 0.500 0.500
Sb1 0.000 0.000 0.000
Bi2 0.000 0.500 0.000
Bi3 0.000 0.000 0.500
```

Magnetic moment, μB per formula unit: 0.00
Space group: No. 221
DOS at the Fermi energy, states/eV per atom: 1.556

***

--- x ---
A plane-wave DFT calculation with GGA-PBE was carried out for a geometry-optimized Bi3BSb structure.

The structure in CIF format:
```
data_Bi3BSb
_chemical_formula_sum 'Bi3 B1 Sb1'
_space_group_name_H-M_alt 'P 1'
_space_group_IT_number 1
_space_group_name_Hall 'P 1'
_cell_length_a 5.124
_cell_length_b 5.124
_cell_length_c 5.124
_cell_angle_alpha 90.00
_cell_angle_beta 90.00
_cell_angle_gamma 90.00
loop_
_atom_site_label
_atom_site_fract_x
_atom_site_fract_y
_atom_site_fract_z
Sb1 0.500 0.500 0.500
Bi1 0.500 0.000 0.000
B1 0.000 0.000 0.000
Bi2 0.000 0.500 0.000
Bi3 0.000 0.000 0.500
```

Magnetic moment, μB per formula unit: 0.00
Space group: No. 221
DOS at the Fermi energy, states/eV per atom: 0.877

***

Most stable pick: x. Distance to second place: 0.948 eV/atom.

***

--- w ---
A plane-wave DFT calculation with GGA-PBE was carried out for a geometry-optimized BiB3Sb structure.

The structure in CIF format:
```
data_BiB3Sb
_chemical_formula_sum 'Bi1 B3 Sb1'
_space_group_name_H-M_alt 'P 1'
_space_group_IT_number 1
_space_group_name_Hall 'P 1'
_cell_length_a 4.539
_cell_length_b 4.539
_cell_length_c 4.539
_cell_angle_alpha 90.00
_cell_angle_beta 90.00
_cell_angle_gamma 90.00
loop_
_atom_site_label
_atom_site_fract_x
_atom_site_fract_y
_atom_site_fract_z
B1 0.500 0.000 0.000
Bi1 0.500 0.500 0.500
B2 0.000 0.500 0.000
B3 0.000 0.000 0.500
Sb1 0.000 0.000 0.000
```

Magnetic moment, μB per formula unit: 0.00
Space group: No. 221
DOS at the Fermi energy, states/eV per atom: 0.416

***

--- x ---
A plane-wave DFT calculation with GGA-PBE was carried out for a geometry-optimized BiB3Sb structure.

The structure in CIF format:
```
data_BiB3Sb
_chemical_formula_sum 'Bi1 B3 Sb1'
_space_group_name_H-M_alt 'P 1'
_space_group_IT_number 1
_space_group_name_Hall 'P 1'
_cell_length_a 4.710
_cell_length_b 4.710
_cell_length_c 4.710
_cell_angle_alpha 90.00
_cell_angle_beta 90.00
_cell_angle_gamma 90.00
loop_
_atom_site_label
_atom_site_fract_x
_atom_site_fract_y
_atom_site_fract_z
B1 0.000 0.500 0.000
Bi1 0.000 0.000 0.000
B2 0.500 0.000 0.000
Sb1 0.500 0.500 0.500
B3 0.000 0.000 0.500
```

Magnetic moment, μB per formula unit: 0.00
Space group: No. 221
DOS at the Fermi energy, states/eV per atom: 0.401

***

Most stable pick: w. Distance to second place: 0.410 eV/atom.

***

--- w ---
A plane-wave DFT calculation with GGA-PBE was carried out for a geometry-optimized BiBSbTe2 structure.

The structure in CIF format:
```
data_BiBSbTe2
_chemical_formula_sum 'Bi1 B1 Sb1 Te2'
_space_group_name_H-M_alt 'P 1'
_space_group_IT_number 1
_space_group_name_Hall 'P 1'
_cell_length_a 4.940
_cell_length_b 4.940
_cell_length_c 5.012
_cell_angle_alpha 90.00
_cell_angle_beta 90.00
_cell_angle_gamma 90.00
loop_
_atom_site_label
_atom_site_fract_x
_atom_site_fract_y
_atom_site_fract_z
Bi1 0.500 0.500 0.500
Sb1 0.000 0.000 0.500
Te1 0.000 0.500 0.000
B1 0.000 0.000 0.000
Te2 0.500 0.000 0.000
```

Magnetic moment, μB per formula unit: 0.00
Space group: No. 123
DOS at the Fermi energy, states/eV per atom: 0.523

***

--- x ---
A plane-wave DFT calculation with GGA-PBE was carried out for a geometry-optimized BiBSbTe2 structure.

The structure in CIF format:
```
data_BiBSbTe2
_chemical_formula_sum 'Bi1 B1 Sb1 Te2'
_space_group_name_H-M_alt 'P 1'
_space_group_IT_number 1
_space_group_name_Hall 'P 1'
_cell_length_a 5.989
_cell_length_b 5.989
_cell_length_c 5.824
_cell_angle_alpha 90.00
_cell_angle_beta 90.00
_cell_angle_gamma 90.00
loop_
_atom_site_label
_atom_site_fract_x
_atom_site_fract_y
_atom_site_fract_z
Te1 0.500 0.000 0.000
Te2 0.000 0.500 0.000
Bi1 0.000 0.000 0.000
Sb1 0.000 0.000 0.500
B1 0.500 0.500 0.500
```

Magnetic moment, μB per formula unit: 1.03
Space group: No. 123
DOS at the Fermi energy, states/eV per atom: 1.000

***

Most stable pick: w. Distance to second place: 1.039 eV/atom.

***

--- w ---
A plane-wave DFT calculation with GGA-PBE was carried out for a geometry-optimized Sc6Bi2B structure.

The structure in CIF format:
```
data_Sc6Bi2B
_chemical_formula_sum 'Sc12 Bi4 B2'
_space_group_name_H-M_alt 'P 1'
_space_group_IT_number 1
_space_group_name_Hall 'P 1'
_cell_length_a 6.553
_cell_length_b 6.553
_cell_length_c 9.285
_cell_angle_alpha 90.00
_cell_angle_beta 89.99
_cell_angle_gamma 90.00
loop_
_atom_site_label
_atom_site_fract_x
_atom_site_fract_y
_atom_site_fract_z
Bi1 0.000 0.500 0.250
Sc1 0.749 0.749 0.000
Sc2 0.000 0.000 0.748
B1 0.000 0.000 0.500
Sc3 0.751 0.751 0.500
Bi2 0.500 0.000 0.250
Sc4 0.500 0.500 0.752
Sc5 0.251 0.749 0.000
Sc6 0.000 0.000 0.252
Sc7 0.751 0.249 0.500
Bi3 0.500 0.000 0.750
Sc8 0.500 0.500 0.248
Sc9 0.249 0.249 0.500
Bi4 0.000 0.500 0.750
Sc10 0.749 0.251 0.000
B2 0.500 0.500 0.000
Sc11 0.249 0.751 0.500
Sc12 0.251 0.251 0.000
```

Magnetic moment, μB per formula unit: 0.00
Space group: No. 139
DOS at the Fermi energy, states/eV per atom: 1.218

***

--- x ---
A plane-wave DFT calculation with GGA-PBE was carried out for a geometry-optimized Sc6Bi2B structure.

The structure in CIF format:
```
data_Sc6Bi2B
_chemical_formula_sum 'Sc12 Bi4 B2'
_space_group_name_H-M_alt 'P 1'
_space_group_IT_number 1
_space_group_name_Hall 'P 1'
_cell_length_a 6.218
_cell_length_b 6.218
_cell_length_c 12.820
_cell_angle_alpha 90.00
_cell_angle_beta 90.00
_cell_angle_gamma 90.00
loop_
_atom_site_label
_atom_site_fract_x
_atom_site_fract_y
_atom_site_fract_z
Sc1 0.225 0.775 0.500
Sc2 0.814 0.186 0.125
Sc3 0.186 0.814 0.125
Sc4 0.186 0.814 0.875
Sc5 0.814 0.186 0.875
Bi1 0.000 0.000 0.681
Sc6 0.275 0.275 0.000
Sc7 0.686 0.686 0.625
Bi2 0.500 0.500 0.819
Bi3 0.000 0.000 0.319
Sc8 0.725 0.725 0.000
Bi4 0.500 0.500 0.181
Sc9 0.775 0.225 0.500
Sc10 0.314 0.314 0.375
B1 0.000 0.000 0.000
B2 0.500 0.500 0.500
Sc11 0.686 0.686 0.375
Sc12 0.314 0.314 0.625
```

Magnetic moment, μB per formula unit: 1.32
Space group: No. 136
DOS at the Fermi energy, states/eV per atom: 1.258

***

Most stable pick: w. Distance to second place: 0.306 eV/atom.